*one*
The following is a GGA-PBE calculation of NaPdS2Cl after structural relaxation, from Alexandria via LeMat-Bulk.

a = 4.6927 Å, b = 4.6927 Å, c = 5.2465 Å
α = 90.00°, β = 90.00°, γ = 90.00°
Last column: nearest neighbours and their distance in Å.
Positions (direct):
S (0.0000, 0.5000, 0.0000)  2 Pd 2.35
S (0.5000, 0.0000, 0.0000)  2 Pd 2.35
Na (0.5000, 0.5000, 0.5000)  4 Cl 3.32, 8 S 3.52
Cl (0.0000, 0.0000, 0.5000)  2 Pd 2.62
Pd (0.0000, 0.0000, 0.0000)  4 S 2.35, 2 Cl 2.62

*two*
The following is a GGA-PBE calculation of NaPdS2Cl after structural relaxation, from Alexandria via LeMat-Bulk.

a = 5.0726 Å, b = 5.0726 Å, c = 4.9034 Å
α = 90.00°, β = 90.00°, γ = 90.00°
Last column: nearest neighbours and their distance in Å.
Positions (direct):
S (0.0000, 0.5000, 0.0000)  2 Na 2.54
S (0.5000, 0.0000, 0.0000)  2 Na 2.54
Na (0.0000, 0.0000, 0.0000)  2 Cl 2.45, 4 S 2.54
Pd (0.5000, 0.5000, 0.5000)  8 S 3.53, 4 Cl 3.59
Cl (0.0000, 0.0000, 0.5000)  2 Na 2.45

In terms of stability, *one* leads; the second structure lies 1007 meV per atom higher.